Material: AcLa8Co2
Method: DFT, PBE
State: optimized geometry

The structure belongs to space group C2/m (No. 12); the cell edges are 12.993, 8.533 and 7.356 Å and the angles 90.00°, 108.09° and 90.00°. The asymmetric unit holds Ac at (0.000, 0.000, 0.000), La at (0.114, 0.304, 0.323), La at (0.137, 0.000, 0.670), La at (0.174, 0.500, 0.830) and Co at (0.216, 0.000, 0.401).

As for the spin magnetization: 0.000 μB per atom. Its raw total energy is -5.19 eV per atom. The volume is 35.24 Å³ per atom.